# GaReNiHg

A relaxed GaReNiHg crystal (PBE, the Open Quantum Materials Database).

Lattice parameters (Å, degrees): 6.3214 6.3214 6.3214 90.00 90.00 90.00
Closest atoms and distances in Å follow each position.
Space group F-43m (No. 216)
Asymmetric unit:
Ga  0.0000  0.0000  0.0000  4 Hg 2.74, 4 Ni 2.74
Re  0.0000  0.0000  0.5000  4 Ni 2.74, 4 Hg 2.74
Ni  0.2500  0.2500  0.2500  4 Ga 2.74, 4 Re 2.74
Hg  0.2500  0.2500  0.7500  4 Re 2.74, 4 Ga 2.74

## Properties
- DFT total energy: -72.75 eV per cell


# ScGaNiHg

A relaxed ScGaNiHg crystal (PBE, the Open Quantum Materials Database).

Lattice parameters (Å, degrees): 6.4882 6.4882 6.4882 90.00 90.00 90.00
Closest atoms and distances in Å follow each position.
Space group F-43m (No. 216)
Asymmetric unit:
Sc  0.0000  0.0000  0.0000  4 Hg 2.81, 4 Ni 2.81
Ga  0.0000  0.0000  0.5000  4 Hg 2.81, 4 Ni 2.81
Ni  0.2500  0.2500  0.7500  4 Sc 2.81, 4 Ga 2.81
Hg  0.2500  0.2500  0.2500  4 Sc 2.81, 4 Ga 2.81

## Properties
- Distance to the lowest polymorph of the same formula: 32 meV per atom


# ScGaNiHg

A relaxed ScGaNiHg crystal (PBE, the Open Quantum Materials Database).

Lattice parameters (Å, degrees): 6.4682 6.4682 6.4682 90.00 90.00 90.00
Closest atoms and distances in Å follow each position.
Space group F-43m (No. 216)
Asymmetric unit:
Sc  0.0000  0.0000  0.0000  4 Hg 2.80, 4 Ga 2.80
Ga  0.2500  0.2500  0.2500  4 Ni 2.80, 4 Sc 2.80
Ni  0.0000  0.0000  0.5000  4 Hg 2.80, 4 Ga 2.80
Hg  0.2500  0.2500  0.7500  4 Ni 2.80, 4 Sc 2.80

## Properties
- Distance to the lowest polymorph of the same formula: 0 meV per atom


# TaGaNiHg

A relaxed TaGaNiHg crystal (PBE, the Open Quantum Materials Database).

Lattice parameters (Å, degrees): 6.4188 6.4188 6.4188 90.00 90.00 90.00
Closest atoms and distances in Å follow each position.
Space group F-43m (No. 216)
Asymmetric unit:
Ta  0.0000  0.0000  0.0000  4 Ni 2.78, 4 Hg 2.78
Ga  0.0000  0.0000  0.5000  4 Hg 2.78, 4 Ni 2.78
Ni  0.2500  0.2500  0.7500  4 Ta 2.78, 4 Ga 2.78
Hg  0.2500  0.2500  0.2500  4 Ta 2.78, 4 Ga 2.78

## Properties
- Distance to the lowest polymorph of the same formula: 61 meV per atom


# TaGaNiHg

A relaxed TaGaNiHg crystal (PBE, the Open Quantum Materials Database).

Lattice parameters (Å, degrees): 6.3987 6.3987 6.3987 90.00 90.00 90.00
Closest atoms and distances in Å follow each position.
Space group F-43m (No. 216)
Asymmetric unit:
Ta  0.0000  0.0000  0.0000  4 Hg 2.77, 4 Ga 2.77
Ga  0.2500  0.2500  0.2500  4 Ta 2.77, 4 Ni 2.77
Ni  0.0000  0.0000  0.5000  4 Ga 2.77, 4 Hg 2.77
Hg  0.2500  0.2500  0.7500  4 Ta 2.77, 4 Ni 2.77

## Properties
- Distance to the lowest polymorph of the same formula: 0 meV per atom


# ZnGaNiHg

A relaxed ZnGaNiHg crystal (PBE, the Open Quantum Materials Database).

Lattice parameters (Å, degrees): 6.3257 6.3257 6.3257 90.00 90.00 90.00
Closest atoms and distances in Å follow each position.
Space group F-43m (No. 216)
Asymmetric unit:
Zn  0.0000  0.0000  0.0000  4 Hg 2.74, 4 Ni 2.74
Ga  0.0000  0.0000  0.5000  4 Hg 2.74, 4 Ni 2.74
Ni  0.2500  0.2500  0.7500  4 Zn 2.74, 4 Ga 2.74
Hg  0.2500  0.2500  0.2500  4 Zn 2.74, 4 Ga 2.74

## Properties
- DFT total energy: -38.36 eV per cell


# GaHgO3

A relaxed GaHgO3 crystal (PBE, the Open Quantum Materials Database).

Lattice parameters (Å, degrees): 3.7989 3.7989 4.1924 90.00 90.00 90.00
Closest atoms and distances in Å follow each position.
Space group P4mm (No. 99)
Asymmetric unit:
Ga  0.0000  0.0000  0.0000  5 O 1.89-1.93
Hg  0.5000  0.5000  0.4376  4 O 2.42
O  0.0000  0.0000  0.5484  1 Ga 1.89
O  0.0000  0.5000  0.0818  2 Ga 1.93

## Properties
- DFT total energy: -21.10 eV per cell


# GaHgO3

A relaxed GaHgO3 crystal (PBE, the Open Quantum Materials Database).

Lattice parameters (Å, degrees): 5.4963 7.8241 5.2968 90.00 90.00 90.00
Closest atoms and distances in Å follow each position.
Space group Pnma (No. 62)
Asymmetric unit:
Ga  0.0000  0.0000  0.0000  6 O 1.97-2.06
Hg  0.0540  0.2500  0.4807  6 O 2.22-2.40
O  0.0489  0.7500  0.1139  2 Ga 2.06, 2 Hg 2.22-2.29
O  0.2177  0.5610  0.7123  2 Ga 1.97-2.00

## Properties
- DFT total energy: -87.91 eV per cell


# GaHgO3

A relaxed GaHgO3 crystal (PBE, the Open Quantum Materials Database).

Lattice parameters (Å, degrees): 5.3729 5.3729 14.6322 90.00 90.00 120.00
Closest atoms and distances in Å follow each position.
Space group R-3 (No. 148, hexagonal axes)
Asymmetric unit:
Ga  0.0000  0.0000  0.1531  6 O 1.96-2.04
Hg  0.0000  0.0000  0.3642  6 O 2.24-2.43
O  0.0183  0.6295  0.4270  2 Ga 1.96-2.04

## Properties
- DFT total energy: -132.47 eV per cell


# GaHg2O4

A relaxed GaHg2O4 crystal (PBE, the Open Quantum Materials Database).

Lattice parameters (Å, degrees): 9.1816 9.1816 9.1816 90.00 90.00 90.00
Closest atoms and distances in Å follow each position.
Space group Fd-3m (No. 227, origin choice 2)
Asymmetric unit:
Ga  0.1250  0.1250  0.1250  4 O 1.89
Hg  0.0000  0.0000  0.5000  6 O 2.36
O  0.0064  0.0064  0.2436  1 Ga 1.89

## Properties
- DFT total energy: -219.38 eV per cell


# GaHgO3

A relaxed GaHgO3 crystal (PBE, the Open Quantum Materials Database).

Lattice parameters (Å, degrees): 5.4341 5.4341 13.3207 90.00 90.00 120.00
Closest atoms and distances in Å follow each position.
Space group R-3c (No. 167, hexagonal axes)
Asymmetric unit:
Ga  0.0000  0.0000  0.0000  6 O 1.99
Hg  0.0000  0.0000  0.2500  3 O 2.19
O  0.0000  0.4037  0.2500  2 Ga 1.99, 1 Hg 2.19

## Properties
- DFT total energy: -131.38 eV per cell


# GaHgPO

A relaxed GaHgPO crystal (PBE, the Open Quantum Materials Database).

Lattice parameters (Å, degrees): 3.9491 3.9491 8.8933 90.00 90.00 90.00
Closest atoms and distances in Å follow each position.
Space group P4/nmm (No. 129, origin choice 2)
Asymmetric unit:
Ga  0.2500  0.2500  0.0873  4 O 2.12
Hg  0.2500  0.7500  0.5000  4 P 2.70, 4 Hg 2.79
P  0.2500  0.2500  0.7077  4 Hg 2.70
O  0.2500  0.7500  0.0000  4 Ga 2.12

## Properties
- Distance to the lowest polymorph of the same formula: 471 meV per atom


Please write out number 12 again, unchanged.
# GaHgPO

A relaxed GaHgPO crystal (PBE, the Open Quantum Materials Database).

Lattice parameters (Å, degrees): 3.9491 3.9491 8.8933 90.00 90.00 90.00
Closest atoms and distances in Å follow each position.
Space group P4/nmm (No. 129, origin choice 2)
Asymmetric unit:
Ga  0.2500  0.2500  0.0873  4 O 2.12
Hg  0.2500  0.7500  0.5000  4 P 2.70, 4 Hg 2.79
P  0.2500  0.2500  0.7077  4 Hg 2.70
O  0.2500  0.7500  0.0000  4 Ga 2.12

## Properties
- Distance to the lowest polymorph of the same formula: 471 meV per atom